(1)
First-principles (GGA-PBE) data for a relaxed structure of NdHfHg, as listed in OQMD via LeMat-Bulk.

Cell: 4.9898 4.9898 4.9898 Å, 60.00 60.00 60.00°
Closest atoms and distances in Å follow each position.
Positions (direct):
Hf (0.2500, 0.2500, 0.2500)  4 Hg 3.06
Hg (0.0000, 0.0000, 0.0000)  4 Hf 3.06, 4 Nd 3.06
Nd (0.7500, 0.7500, 0.7500)  4 Hg 3.06

(2)
First-principles (GGA-PBE) data for a relaxed structure of NdHfHg, as listed in OQMD via LeMat-Bulk.

Cell: 5.0354 5.0354 5.0354 Å, 60.00 60.00 60.00°
Closest atoms and distances in Å follow each position.
Positions (direct):
Hf (0.2500, 0.2500, 0.2500)  4 Nd 3.08
Hg (0.7500, 0.7500, 0.7500)  4 Nd 3.08
Nd (0.0000, 0.0000, 0.0000)  4 Hg 3.08, 4 Hf 3.08

Going by the energies, (1) is most stable and the next is 50.9 kJ/mol of atoms up.

(1)
First-principles (GGA-PBE) data for a relaxed structure of HfNiHgSb, as listed in OQMD via LeMat-Bulk.

Cell: 4.7850 4.7850 4.7850 Å, 60.00 60.00 60.00°
Closest atoms and distances in Å follow each position.
Positions (direct):
Hf (0.2500, 0.2500, 0.2500)  4 Hg 2.93, 4 Sb 2.93
Hg (0.5000, 0.5000, 0.5000)  4 Ni 2.93, 4 Hf 2.93
Ni (0.7500, 0.7500, 0.7500)  4 Hg 2.93, 4 Sb 2.93
Sb (0.0000, 0.0000, 0.0000)  4 Hf 2.93, 4 Ni 2.93

(2)
First-principles (GGA-PBE) data for a relaxed structure of HfNiHgSb, as listed in OQMD via LeMat-Bulk.

Cell: 4.8243 4.8243 4.8243 Å, 60.00 60.00 60.00°
Closest atoms and distances in Å follow each position.
Positions (direct):
Hf (0.5000, 0.5000, 0.5000)  4 Ni 2.95, 4 Hg 2.95
Hg (0.2500, 0.2500, 0.2500)  4 Sb 2.95, 4 Hf 2.95
Ni (0.7500, 0.7500, 0.7500)  4 Hf 2.95, 4 Sb 2.95
Sb (0.0000, 0.0000, 0.0000)  4 Hg 2.95, 4 Ni 2.95

Going by the energies, (1) is most stable and the next is 8.6 kJ/mol of atoms up.

(1)
First-principles (GGA-PBE) data for a relaxed structure of HfSiNiHg, as listed in OQMD via LeMat-Bulk.

Cell: 4.5839 4.5839 4.5839 Å, 60.00 60.00 60.00°
Closest atoms and distances in Å follow each position.
Positions (direct):
Hf (0.5000, 0.5000, 0.5000)  4 Hg 2.81, 4 Ni 2.81
Hg (0.2500, 0.2500, 0.2500)  4 Hf 2.81, 4 Si 2.81
Ni (0.7500, 0.7500, 0.7500)  4 Si 2.81, 4 Hf 2.81
Si (0.0000, 0.0000, 0.0000)  4 Ni 2.81, 4 Hg 2.81

(2)
First-principles (GGA-PBE) data for a relaxed structure of HfSiNiHg, as listed in OQMD via LeMat-Bulk.

Cell: 4.5687 4.5687 4.5687 Å, 60.00 60.00 60.00°
Closest atoms and distances in Å follow each position.
Positions (direct):
Hf (0.2500, 0.2500, 0.2500)  4 Si 2.80, 4 Hg 2.80
Hg (0.5000, 0.5000, 0.5000)  4 Ni 2.80, 4 Hf 2.80
Ni (0.7500, 0.7500, 0.7500)  4 Hg 2.80, 4 Si 2.80
Si (0.0000, 0.0000, 0.0000)  4 Hf 2.80, 4 Ni 2.80

Going by the energies, (2) is most stable and the next is 10.4 kJ/mol of atoms up.

(1)
First-principles (GGA-PBE) data for a relaxed structure of HfNiSnHg, as listed in OQMD via LeMat-Bulk.

Cell: 4.7576 4.7576 4.7576 Å, 60.00 60.00 60.00°
Closest atoms and distances in Å follow each position.
Positions (direct):
Hf (0.2500, 0.2500, 0.2500)  4 Hg 2.91, 4 Sn 2.91
Hg (0.5000, 0.5000, 0.5000)  4 Hf 2.91, 4 Ni 2.91
Ni (0.7500, 0.7500, 0.7500)  4 Sn 2.91, 4 Hg 2.91
Sn (0.0000, 0.0000, 0.0000)  4 Ni 2.91, 4 Hf 2.91

(2)
First-principles (GGA-PBE) data for a relaxed structure of HfNiSnHg, as listed in OQMD via LeMat-Bulk.

Cell: 4.7748 4.7748 4.7748 Å, 60.00 60.00 60.00°
Closest atoms and distances in Å follow each position.
Positions (direct):
Hf (0.5000, 0.5000, 0.5000)  4 Hg 2.92, 4 Ni 2.92
Hg (0.2500, 0.2500, 0.2500)  4 Hf 2.92, 4 Sn 2.92
Ni (0.7500, 0.7500, 0.7500)  4 Hf 2.92, 4 Sn 2.92
Sn (0.0000, 0.0000, 0.0000)  4 Hg 2.92, 4 Ni 2.92

Going by the energies, (2) is most stable and the next is 0.8 kJ/mol of atoms up.